SrTc2H7 | PBE | relaxed

Output
electronic total energy = -4.62 eV per atom

Cell and atoms, written as CIF:
```
data_SrTc2H7
_chemical_formula_sum 'Sr2 Tc4 H14'
_cell_length_a 5.286
_cell_length_b 9.676
_cell_length_c 3.459
_cell_angle_alpha 90.00
_cell_angle_beta 90.00
_cell_angle_gamma 90.00
_space_group_name_H-M_alt 'C m m m'
_space_group_IT_number 65
_space_group_name_Hall '-C 2 2'
loop_
_atom_site_label
_atom_site_type_symbol
_atom_site_fract_x
_atom_site_fract_y
_atom_site_fract_z
Sr1 Sr 0.000 0.000 0.000
Tc1 Tc 0.000 0.313 0.500
H1 H 0.000 0.371 0.000
H2 H 0.000 0.500 0.500
H3 H 0.176 0.148 0.500
```

KP2Pd6 | PBE | relaxed

Output
electronic total energy = -5.10 eV per atom

Cell and atoms, written as CIF:
```
data_KP2Pd6
_chemical_formula_sum 'K2 P4 Pd12'
_cell_length_a 10.372
_cell_length_b 9.301
_cell_length_c 3.749
_cell_angle_alpha 90.00
_cell_angle_beta 111.05
_cell_angle_gamma 90.00
_space_group_name_H-M_alt 'C 1 2/m 1'
_space_group_IT_number 12
loop_
_space_group_symop_operation_xyz
'x,y,z'
'-x,-y,-z'
'-x,y,-z'
'x,-y,z'
'x+1/2,y+1/2,z'
'-x+1/2,-y+1/2,-z'
'-x+1/2,y+1/2,-z'
'x+1/2,-y+1/2,z'
loop_
_atom_site_label
_atom_site_type_symbol
_atom_site_fract_x
_atom_site_fract_y
_atom_site_fract_z
K1 K 0.000 0.000 0.000
P1 P 0.179 0.500 0.680
Pd1 Pd 0.000 0.330 0.500
Pd2 Pd 0.220 0.351 0.220
```

TlPH2 | PBE | relaxed

Output
energy relative to the lowest polymorph listed for this composition = 0.919 eV per atom
electronic total energy = -2.63 eV per atom

Cell and atoms, written as CIF:
```
data_TlPH2
_chemical_formula_sum 'Tl4 P4 H8'
_cell_length_a 5.832
_cell_length_b 5.832
_cell_length_c 5.832
_cell_angle_alpha 90.00
_cell_angle_beta 90.00
_cell_angle_gamma 90.00
_space_group_name_H-M_alt 'F m -3 m'
_space_group_IT_number 225
_space_group_name_Hall '-F 4 2 3'
loop_
_atom_site_label
_atom_site_type_symbol
_atom_site_fract_x
_atom_site_fract_y
_atom_site_fract_z
Tl1 Tl 0.000 0.000 0.000
P1 P 0.000 0.000 0.500
H1 H 0.250 0.250 0.250
```

NaCaGaSe3 | PBE | relaxed

Output
ΔE_f (raw) = -1.138 eV per atom
electronic total energy = -3.94 eV per atom

Cell and atoms, written as CIF:
```
data_NaCaGaSe3
_chemical_formula_sum 'Na2 Ca2 Ga2 Se6'
_cell_length_a 8.152
_cell_length_b 4.078
_cell_length_c 12.046
_cell_angle_alpha 90.00
_cell_angle_beta 107.98
_cell_angle_gamma 90.00
_space_group_name_H-M_alt 'P 1 21/m 1'
_space_group_IT_number 11
loop_
_space_group_symop_operation_xyz
'x,y,z'
'-x,-y,-z'
'-x,y+1/2,-z'
'x,-y+1/2,z'
loop_
_atom_site_label
_atom_site_type_symbol
_atom_site_fract_x
_atom_site_fract_y
_atom_site_fract_z
Na1 Na 0.049 0.250 0.305
Ca1 Ca 0.442 0.750 0.618
Ga1 Ga 0.445 0.250 0.884
Se1 Se 0.231 0.250 0.703
Se2 Se 0.306 0.750 0.368
Se3 Se 0.357 0.250 0.067
```

BaZrIn2 | PBE | relaxed

Output
energy relative to the lowest polymorph listed for this composition = 0.029 eV per atom
electronic total energy = -4.20 eV per atom

Cell and atoms, written as CIF:
```
data_BaZrIn2
_chemical_formula_sum 'Ba1 Zr1 In2'
_cell_length_a 3.425
_cell_length_b 3.425
_cell_length_c 9.554
_cell_angle_alpha 90.00
_cell_angle_beta 90.00
_cell_angle_gamma 90.00
_space_group_name_H-M_alt 'P 4/m m m'
_space_group_IT_number 123
_space_group_name_Hall '-P 4 2'
loop_
_atom_site_label
_atom_site_type_symbol
_atom_site_fract_x
_atom_site_fract_y
_atom_site_fract_z
Ba1 Ba 0.000 0.000 0.000
Zr1 Zr 0.000 0.000 0.500
In1 In 0.500 0.500 0.287
```

ReRuPbO6 | PBE | relaxed

Output
ΔE_f (raw) = -1.165 eV per atom
electronic total energy = -7.30 eV per atom

Cell and atoms, written as CIF:
```
data_ReRuPbO6
_chemical_formula_sum 'Re4 Ru4 Pb4 O24'
_cell_length_a 7.136
_cell_length_b 7.252
_cell_length_c 10.574
_cell_angle_alpha 90.00
_cell_angle_beta 90.00
_cell_angle_gamma 90.00
_space_group_name_H-M_alt 'I m m a'
_space_group_IT_number 74
_space_group_name_Hall '-I 2b 2'
loop_
_atom_site_label
_atom_site_type_symbol
_atom_site_fract_x
_atom_site_fract_y
_atom_site_fract_z
Re1 Re 0.000 0.000 0.000
Ru1 Ru 0.250 0.250 0.250
Pb1 Pb 0.000 0.250 0.532
O1 O 0.000 0.250 0.320
O2 O 0.000 0.250 0.932
O3 O 0.191 0.066 0.115
```

GdAg2Au | PBE | relaxed

Output
energy relative to the lowest polymorph listed for this composition = 0.000 eV per atom
electronic total energy = -6.08 eV per atom

Cell and atoms, written as CIF:
```
data_GdAg2Au
_chemical_formula_sum 'Gd4 Ag8 Au4'
_cell_length_a 6.936
_cell_length_b 6.936
_cell_length_c 6.936
_cell_angle_alpha 90.00
_cell_angle_beta 90.00
_cell_angle_gamma 90.00
_space_group_name_H-M_alt 'F m -3 m'
_space_group_IT_number 225
_space_group_name_Hall '-F 4 2 3'
loop_
_atom_site_label
_atom_site_type_symbol
_atom_site_fract_x
_atom_site_fract_y
_atom_site_fract_z
Gd1 Gd 0.000 0.000 0.000
Ag1 Ag 0.250 0.250 0.250
Au1 Au 0.000 0.000 0.500
```

CaMgTc2 | PBE | relaxed

Output
electronic total energy = -5.96 eV per atom

Cell and atoms, written as CIF:
```
data_CaMgTc2
_chemical_formula_sum 'Ca1 Mg1 Tc2'
_cell_length_a 3.150
_cell_length_b 3.150
_cell_length_c 7.981
_cell_angle_alpha 90.00
_cell_angle_beta 90.00
_cell_angle_gamma 90.00
_space_group_name_H-M_alt 'P 4 m m'
_space_group_IT_number 99
loop_
_space_group_symop_operation_xyz
'x,y,z'
'-y,x,z'
'-x,-y,z'
'y,-x,z'
'-x,y,z'
'y,x,z'
'x,-y,z'
'-y,-x,z'
loop_
_atom_site_label
_atom_site_type_symbol
_atom_site_fract_x
_atom_site_fract_y
_atom_site_fract_z
Ca1 Ca 0.000 0.000 0.000
Mg1 Mg 0.500 0.500 0.342
Tc1 Tc 0.000 0.000 0.567
Tc2 Tc 0.500 0.500 0.729
```

Nd2TlCo | PBE | relaxed

Output
electronic total energy = -4.90 eV per atom

Cell and atoms, written as CIF:
```
data_Nd2TlCo
_chemical_formula_sum 'Nd2 Tl1 Co1'
_cell_length_a 3.564
_cell_length_b 3.564
_cell_length_c 8.029
_cell_angle_alpha 90.00
_cell_angle_beta 90.00
_cell_angle_gamma 90.00
_space_group_name_H-M_alt 'P 4/m m m'
_space_group_IT_number 123
_space_group_name_Hall '-P 4 2'
loop_
_atom_site_label
_atom_site_type_symbol
_atom_site_fract_x
_atom_site_fract_y
_atom_site_fract_z
Nd1 Nd 0.000 0.000 0.210
Tl1 Tl 0.500 0.500 0.500
Co1 Co 0.500 0.500 0.000
```

SmZn2 | PBE | relaxed

Output
electronic total energy = -2.61 eV per atom

Cell and atoms, written as CIF:
```
data_SmZn2
_chemical_formula_sum 'Sm2 Zn4'
_cell_length_a 4.694
_cell_length_b 4.692
_cell_length_c 6.114
_cell_angle_alpha 90.00
_cell_angle_beta 112.39
_cell_angle_gamma 90.00
_space_group_name_H-M_alt 'C 1 2/m 1'
_space_group_IT_number 12
loop_
_space_group_symop_operation_xyz
'x,y,z'
'-x,-y,-z'
'-x,y,-z'
'x,-y,z'
'x+1/2,y+1/2,z'
'-x+1/2,-y+1/2,-z'
'-x+1/2,y+1/2,-z'
'x+1/2,-y+1/2,z'
loop_
_atom_site_label
_atom_site_type_symbol
_atom_site_fract_x
_atom_site_fract_y
_atom_site_fract_z
Sm1 Sm 0.000 0.000 0.000
Zn1 Zn 0.187 0.500 0.376
```

CsCaY3 | PBE | relaxed

Output
energy relative to the lowest polymorph listed for this composition = 0.000 eV per atom
electronic total energy = -3.50 eV per atom

Cell and atoms, written as CIF:
```
data_CsCaY3
_chemical_formula_sum 'Cs1 Ca1 Y3'
_cell_length_a 6.074
_cell_length_b 6.074
_cell_length_c 6.074
_cell_angle_alpha 90.00
_cell_angle_beta 90.00
_cell_angle_gamma 90.00
_space_group_name_H-M_alt 'P m -3 m'
_space_group_IT_number 221
_space_group_name_Hall '-P 4 2 3'
loop_
_atom_site_label
_atom_site_type_symbol
_atom_site_fract_x
_atom_site_fract_y
_atom_site_fract_z
Cs1 Cs 0.000 0.000 0.000
Ca1 Ca 0.500 0.500 0.500
Y1 Y 0.000 0.500 0.500
```

PaInCuHg | PBE | relaxed

Output
electronic total energy = -4.10 eV per atom

Cell and atoms, written as CIF:
```
data_PaInCuHg
_chemical_formula_sum 'Pa4 In4 Cu4 Hg4'
_cell_length_a 7.027
_cell_length_b 7.027
_cell_length_c 7.027
_cell_angle_alpha 90.00
_cell_angle_beta 90.00
_cell_angle_gamma 90.00
_space_group_name_H-M_alt 'F -4 3 m'
_space_group_IT_number 216
_space_group_name_Hall 'F -4 2 3'
loop_
_atom_site_label
_atom_site_type_symbol
_atom_site_fract_x
_atom_site_fract_y
_atom_site_fract_z
Pa1 Pa 0.000 0.000 0.000
In1 In 0.000 0.000 0.500
Cu1 Cu 0.250 0.250 0.250
Hg1 Hg 0.250 0.250 0.750
```

Na5Zn2Hg5 | PBE | relaxed

Output
electronic total energy = -1.06 eV per atom

Cell and atoms, written as CIF:
```
data_Na5Zn2Hg5
_chemical_formula_sum 'Na10 Zn4 Hg10'
_cell_length_a 8.826
_cell_length_b 5.084
_cell_length_c 13.243
_cell_angle_alpha 90.00
_cell_angle_beta 102.66
_cell_angle_gamma 90.00
_space_group_name_H-M_alt 'C 1 2/m 1'
_space_group_IT_number 12
loop_
_space_group_symop_operation_xyz
'x,y,z'
'-x,-y,-z'
'-x,y,-z'
'x,-y,z'
'x+1/2,y+1/2,z'
'-x+1/2,-y+1/2,-z'
'-x+1/2,y+1/2,-z'
'x+1/2,-y+1/2,z'
loop_
_atom_site_label
_atom_site_type_symbol
_atom_site_fract_x
_atom_site_fract_y
_atom_site_fract_z
Na1 Na 0.000 0.000 0.000
Na2 Na 0.194 0.000 0.581
Na3 Na 0.224 0.500 0.172
Zn1 Zn 0.069 0.500 0.708
Hg1 Hg 0.000 0.500 0.500
Hg2 Hg 0.096 0.000 0.289
Hg3 Hg 0.141 0.500 0.923
```

Cd2CuCl | PBE | relaxed

Output
energy relative to the lowest polymorph listed for this composition = 0.172 eV per atom
ΔE_f (raw) = -0.016 eV per atom
electronic total energy = -1.96 eV per atom

Cell and atoms, written as CIF:
```
data_Cd2CuCl
_chemical_formula_sum 'Cd2 Cu1 Cl1'
_cell_length_a 4.730
_cell_length_b 3.415
_cell_length_c 5.619
_cell_angle_alpha 90.00
_cell_angle_beta 113.45
_cell_angle_gamma 90.00
_space_group_name_H-M_alt 'P 1 2/m 1'
_space_group_IT_number 10
loop_
_space_group_symop_operation_xyz
'x,y,z'
'-x,-y,-z'
'-x,y,-z'
'x,-y,z'
loop_
_atom_site_label
_atom_site_type_symbol
_atom_site_fract_x
_atom_site_fract_y
_atom_site_fract_z
Cd1 Cd 0.000 0.000 0.000
Cd2 Cd 0.500 0.500 0.500
Cu1 Cu 0.000 0.000 0.500
Cl1 Cl 0.500 0.500 0.000
```

Tb3Dy5Th2 | PBE | relaxed

Output
electronic total energy = -4.96 eV per atom

Cell and atoms, written as CIF:
```
data_Tb3Dy5Th2
_chemical_formula_sum 'Tb12 Dy20 Th8'
_cell_length_a 10.719
_cell_length_b 17.035
_cell_length_c 8.961
_cell_angle_alpha 90.00
_cell_angle_beta 126.71
_cell_angle_gamma 90.00
_space_group_name_H-M_alt 'C 1 2/c 1'
_space_group_IT_number 15
loop_
_space_group_symop_operation_xyz
'x,y,z'
'-x,-y,-z'
'-x,y,-z+1/2'
'x,-y,z+1/2'
'x+1/2,y+1/2,z'
'-x+1/2,-y+1/2,-z'
'-x+1/2,y+1/2,-z+1/2'
'x+1/2,-y+1/2,z+1/2'
loop_
_atom_site_label
_atom_site_type_symbol
_atom_site_fract_x
_atom_site_fract_y
_atom_site_fract_z
Tb1 Tb 0.000 0.219 0.250
Tb2 Tb 0.145 0.125 0.040
Dy1 Dy 0.000 0.029 0.250
Dy2 Dy 0.000 0.279 0.750
Dy3 Dy 0.000 0.468 0.750
Dy4 Dy 0.248 0.123 0.751
Th1 Th 0.137 0.376 0.524
```

Sm15Ho2In2 | PBE | relaxed

Output
electronic total energy = -4.35 eV per atom

Cell and atoms, written as CIF:
```
data_Sm15Ho2In2
_chemical_formula_sum 'Sm45 Ho6 In6'
_cell_length_a 11.1026
_cell_length_b 11.1026
_cell_length_c 17.5418
_cell_angle_alpha 90.00
_cell_angle_beta 90.00
_cell_angle_gamma 120.00
_space_group_name_H-M_alt 'R -3 m'
_space_group_IT_number 166
_space_group_name_Hall '-R 3 2"'
loop_
_atom_site_label
_atom_site_type_symbol
_atom_site_fract_x
_atom_site_fract_y
_atom_site_fract_z
Sm1 Sm 0.0000 0.2923 0.0000
Sm2 Sm 0.0000 0.5000 0.5000
Sm3 Sm 0.0197 0.5099 0.1361
Ho1 Ho 0.0000 0.0000 0.3129
In1 In 0.0000 0.0000 0.0946
```

BaLaPb2 | PBE | relaxed

Output
electronic total energy = -4.05 eV per atom

Cell and atoms, written as CIF:
```
data_BaLaPb2
_chemical_formula_sum 'Ba1 La1 Pb2'
_cell_length_a 5.455
_cell_length_b 5.455
_cell_length_c 4.721
_cell_angle_alpha 90.00
_cell_angle_beta 90.00
_cell_angle_gamma 90.00
_space_group_name_H-M_alt 'P 4/m m m'
_space_group_IT_number 123
_space_group_name_Hall '-P 4 2'
loop_
_atom_site_label
_atom_site_type_symbol
_atom_site_fract_x
_atom_site_fract_y
_atom_site_fract_z
Ba1 Ba 0.000 0.000 0.000
La1 La 0.500 0.500 0.000
Pb1 Pb 0.000 0.500 0.500
```

Ti5AlZn2 | PBE | relaxed

Output
energy relative to the lowest polymorph listed for this composition = 0.000 eV per atom
electronic total energy = -5.96 eV per atom

Cell and atoms, written as CIF:
```
data_Ti5AlZn2
_chemical_formula_sum 'Ti10 Al2 Zn4'
_cell_length_a 4.003
_cell_length_b 4.003
_cell_length_c 16.055
_cell_angle_alpha 90.00
_cell_angle_beta 90.00
_cell_angle_gamma 90.00
_space_group_name_H-M_alt 'I 4/m m m'
_space_group_IT_number 139
_space_group_name_Hall '-I 4 2'
loop_
_atom_site_label
_atom_site_type_symbol
_atom_site_fract_x
_atom_site_fract_y
_atom_site_fract_z
Ti1 Ti 0.000 0.000 0.000
Ti2 Ti 0.000 0.500 0.127
Al1 Al 0.000 0.000 0.500
Zn1 Zn 0.000 0.000 0.250
```

BaVNi2Te | PBE | relaxed

Output
ΔE_f (raw) = 0.126 eV per atom
electronic total energy = -5.02 eV per atom

Cell and atoms, written as CIF:
```
data_BaVNi2Te
_chemical_formula_sum 'Ba1 V1 Ni2 Te1'
_cell_length_a 4.761
_cell_length_b 4.761
_cell_length_c 5.101
_cell_angle_alpha 90.00
_cell_angle_beta 90.00
_cell_angle_gamma 90.00
_space_group_name_H-M_alt 'P 4/m m m'
_space_group_IT_number 123
_space_group_name_Hall '-P 4 2'
loop_
_atom_site_label
_atom_site_type_symbol
_atom_site_fract_x
_atom_site_fract_y
_atom_site_fract_z
Ba1 Ba 0.000 0.000 0.000
V1 V 0.500 0.500 0.500
Ni1 Ni 0.000 0.500 0.500
Te1 Te 0.500 0.500 0.000
```

Sm8Tm3 | PBE | relaxed

Output
energy relative to the lowest polymorph listed for this composition = 0.118 eV per atom
electronic total energy = -4.16 eV per atom

Cell and atoms, written as CIF:
```
data_Sm8Tm3
_chemical_formula_sum 'Sm24 Tm9'
_cell_length_a 9.7157
_cell_length_b 9.7157
_cell_length_c 13.7111
_cell_angle_alpha 90.00
_cell_angle_beta 90.00
_cell_angle_gamma 120.00
_space_group_name_H-M_alt 'R -3'
_space_group_IT_number 148
_space_group_name_Hall '-R 3'
loop_
_atom_site_label
_atom_site_type_symbol
_atom_site_fract_x
_atom_site_fract_y
_atom_site_fract_z
Sm1 Sm 0.0000 0.0000 0.1120
Sm2 Sm 0.0380 0.2315 0.6138
Tm1 Tm 0.0000 0.5000 0.5000
```